Entry from Alexandria via LeMat-Bulk: a relaxed structure of Tl2VI4Br2 (PBE).

Values from the calculation:
* raw formation energy: -571 meV per atom
* density of states at the Fermi level: 4.1 states/eV/f.u.

Geometry as CIF:
```
data_Tl2VI4Br2
_cell_length_a 12.638
_cell_length_b 8.076
_cell_length_c 6.669
_cell_angle_alpha 90.00
_cell_angle_beta 97.48
_cell_angle_gamma 90.00
_space_group_name_H-M_alt 'C 1 2/m 1'
_space_group_IT_number 12
_space_group_name_Hall '-C 2y'
loop_
_atom_site_label
_atom_site_type_symbol
_atom_site_fract_x
_atom_site_fract_y
_atom_site_fract_z
Tl1 Tl 0.159 0.000 0.209
V1 V 0.000 0.500 0.000
I1 I 0.100 0.257 0.799
Br1 Br 0.147 0.500 0.271
```


Entry from Alexandria via LeMat-Bulk: a relaxed structure of Tl3WI2Br6 (PBE).

Values from the calculation:
* raw formation energy: -551 meV per atom
* density of states at the Fermi level: 5.4 states/eV/f.u.

Geometry as CIF:
```
data_Tl3WI2Br6
_cell_length_a 16.688
_cell_length_b 9.054
_cell_length_c 6.261
_cell_angle_alpha 90.00
_cell_angle_beta 91.47
_cell_angle_gamma 90.00
_space_group_name_H-M_alt 'C 1 2/m 1'
_space_group_IT_number 12
_space_group_name_Hall '-C 2y'
loop_
_atom_site_label
_atom_site_type_symbol
_atom_site_fract_x
_atom_site_fract_y
_atom_site_fract_z
Tl1 Tl 0.000 0.000 0.000
Tl2 Tl 0.250 0.250 0.500
W1 W 0.000 0.500 0.500
I1 I 0.196 0.000 0.117
Br1 Br 0.067 0.304 0.728
Br2 Br 0.120 0.500 0.265
```